Entry 1:
A plane-wave DFT calculation with PBE was carried out for crystalline PmZr at its relaxed geometry.

Computed properties:
Magnetic moment   0.00 μB/f.u.
SG   Amm2, No. 38
Offset from the most stable computed form   53 meV per atom
V   28.0 A^3/atom
E_form   12.9 kJ/mol of atoms
DFT total energy   -6.512 eV per atom

abc: 5.9369 9.1256 5.4749
angles: 90.00 90.00 71.01
Atoms (fractional coordinates):
Pm1 0.4725 0.3814 0.5000
Zr1 0.6790 0.0084 0.5000
Zr2 0.9642 0.0262 0.0000
Zr3 0.8610 0.6000 0.5000
Zr4 0.0874 0.1916 0.5000
Pm2 0.2539 0.8185 0.5000
Pm3 0.1870 0.6000 0.0000
Pm4 0.8223 0.3934 0.0000
Pm5 0.6157 0.8067 0.0000
Zr5 0.3904 0.1738 0.0000

***

Entry 2:
A plane-wave DFT calculation with PBE was carried out for crystalline MgScGaFe at its relaxed geometry.

Computed properties:
Magnetic moment   1.85 μB/f.u.
SG   F-43m, No. 216
Offset from the most stable computed form   0 meV per atom
V   15.8 A^3/atom
DFT total energy   -4.892 eV per atom

abc: 4.4686 4.4686 4.4686
angles: 60.00 60.00 60.00
Site moments in Bohr magnetons follow the coordinates.
Atoms (fractional coordinates):
Sc1 0.7500 0.7500 0.7500  -0.17
Fe1 0.2500 0.2500 0.2500  2.13
Mg1 0.5000 0.5000 0.5000  -0.02
Ga1 0.0000 0.0000 0.0000  -0.03

***

Entry 3:
A plane-wave DFT calculation with PBE was carried out for crystalline GdNpGe at its relaxed geometry.

Computed properties:
Magnetic moment   5.48 μB/f.u.
SG   F-43m, No. 216
Offset from the most stable computed form   0 meV per atom
V   26.7 A^3/atom
DFT total energy   -7.343 eV per atom

abc: 4.8405 4.8405 4.8405
angles: 60.00 60.00 60.00
Atoms (fractional coordinates):
Ge1 0.0000 0.0000 0.0000
Np1 0.7500 0.7500 0.7500
Gd1 0.2500 0.2500 0.2500

***

Entry 4:
A plane-wave DFT calculation with PBE was carried out for crystalline LiZnCo2 at its relaxed geometry.

Computed properties:
Magnetic moment   0.00 μB/f.u.
SG   F-43m, No. 216
V   11.4 A^3/atom
DFT total energy   -4.203 eV per atom

abc: 4.0086 4.0086 4.0086
angles: 60.00 60.00 60.00
Atoms (fractional coordinates):
Co1 0.5000 0.5000 0.5000
Zn1 0.2500 0.2500 0.2500
Li1 0.0000 0.0000 0.0000
Co2 0.7500 0.7500 0.7500

***

Entry 5:
A plane-wave DFT calculation with PBE was carried out for crystalline CsNaTe3Mo at its relaxed geometry.

Computed properties:
Magnetic moment   2.05 μB/f.u.
SG   Cmcm, No. 63
V   33.9 A^3/atom
DFT total energy   -4.060 eV per atom

abc: 8.8315 8.8315 11.1688
angles: 90.00 90.00 152.12
Site moments in Bohr magnetons follow the coordinates.
Atoms (fractional coordinates):
Te1 0.5675 0.4325 0.2500  -0.14
Mo1 0.5000 0.5000 0.5000  2.09
Te2 0.8899 0.1101 0.4860  -0.07
Na1 0.0454 0.9546 0.7500  0.00
Na2 0.9546 0.0454 0.2500  0.00
Te3 0.8899 0.1101 0.0140  -0.06
Mo2 0.5000 0.5000 0.0000  2.08
Cs1 0.2565 0.7435 0.2500  0.00
Te4 0.4325 0.5675 0.7500  -0.14
Te5 0.1101 0.8899 0.5140  -0.07
Te6 0.1101 0.8899 0.9860  -0.06
Cs2 0.7435 0.2565 0.7500  0.00

***

Entry 6:
A plane-wave DFT calculation with PBE was carried out for crystalline CoSiAgPt at its relaxed geometry.

Computed properties:
Magnetic moment   0.95 μB/f.u.
SG   F-43m, No. 216
Offset from the most stable computed form   0 meV per atom
V   14.1 A^3/atom
DFT total energy   -5.343 eV per atom

abc: 4.3068 4.3068 4.3068
angles: 60.00 60.00 60.00
Site moments in Bohr magnetons follow the coordinates.
Atoms (fractional coordinates):
Ag1 0.5000 0.5000 0.5000  -0.03
Pt1 0.2500 0.2500 0.2500  0.04
Si1 0.0000 0.0000 0.0000  -0.02
Co1 0.7500 0.7500 0.7500  1.01

***

Entry 7:
A plane-wave DFT calculation with PBE was carried out for crystalline HfInAg3S4 at its relaxed geometry.

Computed properties:
Magnetic moment   0.00 μB/f.u.
SG   P-43m, No. 215
Offset from the most stable computed form   0 meV per atom
V   27.4 A^3/atom
DFT total energy   -4.771 eV per atom

abc: 6.2721 6.2721 6.2721
angles: 90.00 90.00 90.00
Atoms (fractional coordinates):
In1 0.5000 0.5000 0.5000
Ag1 0.5000 0.0000 0.0000
Ag2 0.0000 0.5000 0.0000
S1 0.7780 0.7780 0.7780
S2 0.7780 0.2220 0.2220
S3 0.2220 0.2220 0.7780
Hf1 0.0000 0.0000 0.0000
S4 0.2220 0.7780 0.2220
Ag3 0.0000 0.0000 0.5000

***

Entry 8:
A plane-wave DFT calculation with PBE was carried out for crystalline NaSrAu2 at its relaxed geometry.

Computed properties:
SG   Pmmn, No. 59
Offset from the most stable computed form   1 meV per atom
V   25.5 A^3/atom
DFT total energy   -2.956 eV per atom

abc: 7.3374 5.2734 10.5332
angles: 90.00 90.00 90.00
Atoms (fractional coordinates):
Sr1 0.2499 0.2500 0.6214
Na1 0.7499 0.2500 0.6235
Au1 0.0009 0.7500 0.1294
Sr2 0.7501 0.7500 0.3786
Na2 0.7501 0.2500 0.1235
Au2 0.9991 0.2500 0.8706
Na3 0.2501 0.7500 0.3765
Au3 0.4992 0.7500 0.1295
Au4 0.5009 0.2500 0.3706
Au5 0.4991 0.7500 0.6294
Sr3 0.7499 0.7500 0.8786
Au6 0.5008 0.2500 0.8705
Sr4 0.2501 0.2500 0.1214
Au7 0.0008 0.7500 0.6295
Na4 0.2499 0.7500 0.8765
Au8 0.9992 0.2500 0.3705

***

Repeat the fourth record exactly.
A plane-wave DFT calculation with PBE was carried out for crystalline LiZnCo2 at its relaxed geometry.

Computed properties:
Magnetic moment   0.00 μB/f.u.
SG   F-43m, No. 216
V   11.4 A^3/atom
DFT total energy   -4.203 eV per atom

abc: 4.0086 4.0086 4.0086
angles: 60.00 60.00 60.00
Atoms (fractional coordinates):
Co1 0.5000 0.5000 0.5000
Zn1 0.2500 0.2500 0.2500
Li1 0.0000 0.0000 0.0000
Co2 0.7500 0.7500 0.7500

***

> What is the formula in the second record?

MgScGaFe

***

> The lowest V belongs to which entry?

LiZnCo2